Computed, not measured: an optimized crystal structure of GeTeN2 at the GGA-PBEsol level of DFT.

a b c (Å): 5.6141 5.6141 5.6141
angles (deg): 124.27 124.27 82.76
Fractional positions:
Ge: 0.0000 0.0000 0.0000
Ge: 0.7500 0.2500 0.5000
Te: 0.2500 0.7500 0.5000
Te: 0.5000 0.5000 0.0000
N: 0.0287 0.1250 0.4037
N: 0.3750 0.9713 0.0963
N: 0.7213 0.6250 0.5963
N: 0.8750 0.2787 0.9037

Computed properties:
Raw formation energy = 2.10 eV/f.u.
SG = No. 122
Fermi-level density of states = 1.7 states/eV per cell

=====

Computed, not measured: an optimized crystal structure of GeTe3N at the GGA-PBEsol level of DFT.

a b c (Å): 4.7443 4.7443 4.7443
angles (deg): 90.00 90.00 90.00
Fractional positions:
Ge: 0.0000 0.0000 0.0000
Te: 0.0000 0.5000 0.5000
Te: 0.5000 0.0000 0.5000
Te: 0.5000 0.5000 0.0000
N: 0.5000 0.5000 0.5000

Computed properties:
Raw formation energy = 2.95 eV/f.u.
SG = No. 221
Fermi-level density of states = 3.1 states/eV per cell

=====

Computed, not measured: an optimized crystal structure of YGeTeN2 at the GGA-PBEsol level of DFT.

a b c (Å): 4.3822 4.3822 6.0648
angles (deg): 90.00 90.00 90.00
Fractional positions:
Y: 0.0000 0.0000 0.0000
Ge: 0.5000 0.5000 0.5000
Te: 0.0000 0.0000 0.5000
N: 0.0000 0.5000 0.0000
N: 0.5000 0.0000 0.0000

Computed properties:
Raw formation energy = 3.78 eV/f.u.
SG = No. 123
Fermi-level density of states = 2.8 states/eV per cell

=====

Computed, not measured: an optimized crystal structure of TlGe2N at the GGA-PBEsol level of DFT.

a b c (Å): 4.6257 4.6257 4.6257
angles (deg): 60.00 60.00 60.00
Fractional positions:
Tl: 0.0000 0.0000 0.0000
Ge: 0.2500 0.2500 0.2500
Ge: 0.7500 0.7500 0.7500
N: 0.5000 0.5000 0.5000

Computed properties:
Raw formation energy = 4.85 eV/f.u.
SG = No. 225
Fermi-level density of states = 2.6 states/eV per cell

=====

Computed, not measured: an optimized crystal structure of V3GeN at the GGA-PBEsol level of DFT.

a b c (Å): 5.2181 5.2181 7.7243
angles (deg): 90.00 90.00 146.73
Fractional positions:
V: 0.0336 0.9664 0.7500
V: 0.3732 0.6268 0.5444
V: 0.3732 0.6268 0.9556
V: 0.6268 0.3732 0.0444
V: 0.6268 0.3732 0.4556
V: 0.9664 0.0336 0.2500
Ge: 0.2578 0.7422 0.2500
Ge: 0.7422 0.2578 0.7500
N: 0.0000 0.0000 0.0000
N: 0.0000 0.0000 0.5000

Computed properties:
Raw formation energy = -4.27 eV/f.u.
SG = No. 63
Fermi-level density of states = 7.7 states/eV per cell

=====

Computed, not measured: an optimized crystal structure of ZnGeN3 at the GGA-PBEsol level of DFT.

a b c (Å): 3.7836 3.7836 3.7836
angles (deg): 90.00 90.00 90.00
Fractional positions:
Zn: 0.0000 0.0000 0.0000
Ge: 0.5000 0.5000 0.5000
N: 0.0000 0.5000 0.5000
N: 0.5000 0.0000 0.5000
N: 0.5000 0.5000 0.0000

Computed properties:
Raw formation energy = 6.93 eV/f.u.
SG = No. 221
Fermi-level density of states = 3.5 states/eV per cell

=====

Computed, not measured: an optimized crystal structure of NaNbGeO5 at the GGA-PBEsol level of DFT.

a b c (Å): 6.8145 8.9509 7.5705
angles (deg): 90.00 115.36 90.00
Fractional positions:
Na: 0.2402 0.0812 0.2037
Na: 0.2402 0.4188 0.7037
Na: 0.7598 0.5812 0.2963
Na: 0.7598 0.9188 0.7963
Nb: 0.2602 0.7390 0.9802
Nb: 0.2602 0.7610 0.4802
Nb: 0.7398 0.2390 0.5198
Nb: 0.7398 0.2610 0.0198
Ge: 0.2451 0.0624 0.7473
Ge: 0.2451 0.4376 0.2473
Ge: 0.7549 0.5624 0.7527
Ge: 0.7549 0.9376 0.2527
O: 0.0465 0.1803 0.5807
O: 0.0465 0.3197 0.0807
O: 0.1504 0.5491 0.3861
O: 0.1504 0.9509 0.8861
O: 0.2530 0.6786 0.7453
O: 0.2530 0.8214 0.2453
O: 0.3634 0.5464 0.1255
O: 0.3634 0.9536 0.6255
O: 0.4353 0.1885 0.9098
O: 0.4353 0.3115 0.4098
O: 0.5647 0.6885 0.5902
O: 0.5647 0.8115 0.0902
O: 0.6366 0.0464 0.3745
O: 0.6366 0.4536 0.8745
O: 0.7470 0.1786 0.7547
O: 0.7470 0.3214 0.2547
O: 0.8496 0.0491 0.1139
O: 0.8496 0.4509 0.6139
O: 0.9535 0.6803 0.9193
O: 0.9535 0.8197 0.4193

Computed properties:
Raw formation energy = -17.20 eV/f.u.
SG = No. 14
Fermi-level density of states = 0.0 states/eV per cell

=====

Computed, not measured: an optimized crystal structure of Na2NbTcGe at the GGA-PBEsol level of DFT.

a b c (Å): 4.8486 4.8486 4.7391
angles (deg): 90.00 90.00 90.00
Fractional positions:
Na: 0.0000 0.5000 0.0000
Na: 0.5000 0.0000 0.0000
Nb: 0.0000 0.0000 0.5000
Tc: 0.5000 0.5000 0.5000
Ge: 0.5000 0.5000 0.0000

Computed properties:
Formation energy from the elements = 1.426 eV/atom
SG = No. 123
Fermi-level density of states = 5.2 states/eV per cell